Compound: TcTeHIr2
Source: the Alexandria database
Functional: PBE
Structure: optimized geometry

Excess energy over the best structure of this formula in the dataset in meV/atom: 0.0
Mass density in g/cm³: 14.967
Space-group type: No. 123
DOS(E_F) in states/eV per cell: 1.89

Cell lengths 3.9147, 4.4238, 3.9147 Å; angles 90.00, 90.00, 90.00 degrees
Sites, in units of the cell vectors:
H 0.0000 0.0000 0.0000
Ir 0.0000 0.0000 0.5000
Ir 0.5000 0.0000 0.0000
Te 0.0000 0.5000 0.0000
Tc 0.5000 0.5000 0.5000

=====

Compound: TiTcHIr2
Source: the Alexandria database
Functional: PBE
Structure: optimized geometry

Excess energy over the best structure of this formula in the dataset in meV/atom: 0.0
Mass density in g/cm³: 14.511
Space-group type: No. 123
DOS(E_F) in states/eV per cell: 2.91

Cell lengths 3.8968, 3.8968, 4.0041 Å; angles 90.00, 90.00, 90.00 degrees
Sites, in units of the cell vectors:
H 0.0000 0.0000 0.0000
Ir 0.0000 0.5000 0.0000
Ir 0.5000 0.0000 0.0000
Tc 0.5000 0.5000 0.5000
Ti 0.0000 0.0000 0.5000

=====

Compound: TiTc2HIr
Source: the Alexandria database
Functional: PBE
Structure: optimized geometry

Raw total energy in eV per atom: -8.44
Mass density in g/cm³: 11.890
Space-group type: No. 123
DOS(E_F) in states/eV per cell: 5.79

Cell lengths 3.9025, 3.9025, 4.0081 Å; angles 90.00, 90.00, 90.00 degrees
Sites, in units of the cell vectors:
H 0.0000 0.0000 0.0000
Ir 0.5000 0.5000 0.5000
Tc 0.0000 0.5000 0.0000
Tc 0.5000 0.0000 0.0000
Ti 0.0000 0.0000 0.5000

=====

Compound: TiTcHIr2
Source: the Alexandria database
Functional: PBE
Structure: optimized geometry

Excess energy over the best structure of this formula in the dataset in meV/atom: 11.7
Mass density in g/cm³: 14.434
Space-group type: No. 123
DOS(E_F) in states/eV per cell: 5.15

Cell lengths 3.9217, 3.9217, 3.9744 Å; angles 90.00, 90.00, 90.00 degrees
Sites, in units of the cell vectors:
H 0.0000 0.0000 0.0000
Ir 0.0000 0.5000 0.0000
Ir 0.5000 0.0000 0.0000
Tc 0.0000 0.0000 0.5000
Ti 0.5000 0.5000 0.5000

=====

Compound: V2TcHIr
Source: the Alexandria database
Functional: PBE
Structure: optimized geometry

Excess energy over the best structure of this formula in the dataset in meV/atom: 0.0
Mass density in g/cm³: 11.285
Space-group type: No. 123
DOS(E_F) in states/eV per cell: 4.64

Cell lengths 3.9113, 3.9113, 3.7811 Å; angles 90.00, 90.00, 90.00 degrees
Sites, in units of the cell vectors:
H 0.0000 0.0000 0.0000
Ir 0.5000 0.5000 0.5000
Tc 0.0000 0.0000 0.5000
V 0.0000 0.5000 0.0000
V 0.5000 0.0000 0.0000

=====

Compound: V2TcHIr
Source: the Alexandria database
Functional: PBE
Structure: optimized geometry

Excess energy over the best structure of this formula in the dataset in meV/atom: 45.9
Mass density in g/cm³: 11.201
Space-group type: No. 123
DOS(E_F) in states/eV per cell: 6.21

Cell lengths 3.9999, 3.9999, 3.6426 Å; angles 90.00, 90.00, 90.00 degrees
Sites, in units of the cell vectors:
H 0.0000 0.0000 0.0000
Ir 0.0000 0.0000 0.5000
Tc 0.5000 0.5000 0.5000
V 0.0000 0.5000 0.0000
V 0.5000 0.0000 0.0000

=====

Compound: Tc2HIrW
Source: the Alexandria database
Functional: PBE
Structure: optimized geometry

Excess energy over the best structure of this formula in the dataset in meV/atom: 6.0
Mass density in g/cm³: 15.474
Space-group type: No. 123
DOS(E_F) in states/eV per cell: 4.86

Cell lengths 3.9199, 3.9199, 4.0022 Å; angles 90.00, 90.00, 90.00 degrees
Sites, in units of the cell vectors:
H 0.0000 0.0000 0.0000
Ir 0.5000 0.5000 0.5000
Tc 0.0000 0.5000 0.0000
Tc 0.5000 0.0000 0.0000
W 0.0000 0.0000 0.5000

=====

Compound: Tc2HIrW
Source: the Alexandria database
Functional: PBE
Structure: optimized geometry

Excess energy over the best structure of this formula in the dataset in meV/atom: 0.0
Mass density in g/cm³: 15.472
Space-group type: No. 123
DOS(E_F) in states/eV per cell: 3.60

Cell lengths 3.9560, 3.9560, 3.9300 Å; angles 90.00, 90.00, 90.00 degrees
Sites, in units of the cell vectors:
H 0.0000 0.0000 0.0000
Ir 0.0000 0.0000 0.5000
Tc 0.0000 0.5000 0.0000
Tc 0.5000 0.0000 0.0000
W 0.5000 0.5000 0.5000

=====

Compound: Y2TcHIr
Source: the Alexandria database
Functional: PBE
Structure: optimized geometry

Raw total energy in eV per atom: -7.51
Mass density in g/cm³: 9.287
Space-group type: No. 123
DOS(E_F) in states/eV per cell: 3.49

Cell lengths 4.8681, 4.8681, 3.5387 Å; angles 90.00, 90.00, 90.00 degrees
Sites, in units of the cell vectors:
Y 0.0000 0.5000 0.0000
Y 0.5000 0.0000 0.0000
H 0.0000 0.0000 0.0000
Ir 0.5000 0.5000 0.5000
Tc 0.0000 0.0000 0.5000

=====

Compound: YTc2HIr
Source: the Alexandria database
Functional: PBE
Structure: optimized geometry

Raw total energy in eV per atom: -5.08
Mass density in g/cm³: 5.969
Space-group type: No. 123
DOS(E_F) in states/eV per cell: 4.21

Cell lengths 5.1767, 4.9632, 5.1767 Å; angles 90.00, 90.00, 90.00 degrees
Site moments in Bohr magnetons follow the coordinates.
Sites, in units of the cell vectors:
Y 0.0000 0.0000 0.0000  -0.15
H 0.5000 0.5000 0.5000  0.16
Ir 0.0000 0.5000 0.0000  0.57
Tc 0.0000 0.0000 0.5000  2.54
Tc 0.5000 0.0000 0.0000  2.96

=====

Compound: Zn2TcHIr
Source: the Alexandria database
Functional: PBE
Structure: optimized geometry

Raw total energy in eV per atom: -4.85
Mass density in g/cm³: 11.675
Space-group type: No. 123
DOS(E_F) in states/eV per cell: 4.92

Cell lengths 4.0957, 4.0957, 3.5784 Å; angles 90.00, 90.00, 90.00 degrees
Site moments in Bohr magnetons follow the coordinates.
Sites, in units of the cell vectors:
H 0.0000 0.0000 0.0000  -0.01
Zn 0.0000 0.5000 0.0000  0.00
Zn 0.5000 0.0000 0.0000  0.00
Ir 0.5000 0.5000 0.5000  0.26
Tc 0.0000 0.0000 0.5000  0.88

=====

Compound: ZrTcHIr2
Source: the Alexandria database
Functional: PBE
Structure: optimized geometry

Raw total energy in eV per atom: -8.36
Mass density in g/cm³: 14.477
Space-group type: No. 123
DOS(E_F) in states/eV per cell: 5.21

Cell lengths 4.0224, 4.0224, 4.0741 Å; angles 90.00, 90.00, 90.00 degrees
Site moments in Bohr magnetons follow the coordinates.
Sites, in units of the cell vectors:
H 0.0000 0.0000 0.0000  0.00
Ir 0.0000 0.5000 0.0000  0.03
Ir 0.5000 0.0000 0.0000  0.03
Tc 0.0000 0.0000 0.5000  0.27
Zr 0.5000 0.5000 0.5000  0.00

=====

Compound: TeH2Ir2
Source: the Alexandria database
Functional: PBE
Structure: optimized geometry

Raw total energy in eV per atom: -5.07
Mass density in g/cm³: 14.511
Space-group type: No. 139
DOS(E_F) in states/eV per cell: 2.17

Cell lengths 3.4383, 3.4383, 5.5383 Å; angles 71.92, 71.92, 90.00 degrees
Sites, in units of the cell vectors:
H 0.7500 0.2500 0.5000
H 0.2500 0.7500 0.5000
Ir 0.3494 0.3494 0.3012
Ir 0.6506 0.6506 0.6988
Te 0.0000 0.0000 0.0000

=====

Compound: TeH3Ir
Source: the Alexandria database
Functional: PBE
Structure: optimized geometry

Excess energy over the best structure of this formula in the dataset in meV/atom: 868.0
Mass density in g/cm³: 9.257
Space-group type: No. 221
DOS(E_F) in states/eV per cell: 5.23

Cell lengths 3.8689, 3.8689, 3.8689 Å; angles 90.00, 90.00, 90.00 degrees
Site moments in Bohr magnetons follow the coordinates.
Sites, in units of the cell vectors:
H 0.0000 0.5000 0.0000  0.00
H 0.0000 0.0000 0.5000  0.00
H 0.5000 0.0000 0.0000  0.01
Ir 0.5000 0.5000 0.5000  1.17
Te 0.0000 0.0000 0.0000  0.02

=====

Compound: TeH4Ir2
Source: the Alexandria database
Functional: PBE
Structure: optimized geometry

Raw total energy in eV per atom: -3.71
Mass density in g/cm³: 11.189
Space-group type: No. 139
DOS(E_F) in states/eV per cell: 2.38

Cell lengths 3.8346, 3.8346, 5.8721 Å; angles 70.94, 70.94, 90.00 degrees
Sites, in units of the cell vectors:
H 0.7935 0.7935 0.4131
H 0.2065 0.2065 0.5869
H 0.0000 0.5000 0.0000
H 0.5000 0.0000 0.0000
Ir 0.6413 0.6413 0.7173
Ir 0.3587 0.3587 0.2827
Te 0.0000 0.0000 0.0000

=====

Compound: TeH5Ir
Source: the Alexandria database
Functional: PBE
Structure: optimized geometry

Raw total energy in eV per atom: -3.99
Mass density in g/cm³: 6.298
Space-group type: No. 44
DOS(E_F) in states/eV per cell: 1.00

Cell lengths 2.9395, 5.9201, 5.9284 Å; angles 119.95, 104.35, 90.00 degrees
Sites, in units of the cell vectors:
Te 0.7910 0.7910 0.5821
H 0.7673 0.1269 0.2538
H 0.9724 0.4724 0.9447
H 0.4865 0.1269 0.2538
H 0.3511 0.5098 0.7022
H 0.3511 0.1925 0.7022
Ir 0.8113 0.3113 0.6226

=====

Compound: TeH3Ir
Source: the Alexandria database
Functional: PBE
Structure: optimized geometry

Excess energy over the best structure of this formula in the dataset in meV/atom: 0.0
Mass density in g/cm³: 10.373
Space-group type: No. 221
DOS(E_F) in states/eV per cell: 3.19

Cell lengths 3.7249, 3.7249, 3.7249 Å; angles 90.00, 90.00, 90.00 degrees
Sites, in units of the cell vectors:
H 0.0000 0.5000 0.0000
H 0.0000 0.0000 0.5000
H 0.5000 0.0000 0.0000
Ir 0.0000 0.0000 0.0000
Te 0.5000 0.5000 0.5000

=====

Compound: Th3TeHIr
Source: the Alexandria database
Functional: PBE
Structure: optimized geometry

Raw total energy in eV per atom: -7.01
Mass density in g/cm³: 10.556
Space-group type: No. 11
DOS(E_F) in states/eV per cell: 7.83

Cell lengths 4.0622, 8.9021, 9.0384 Å; angles 101.80, 90.00, 90.00 degrees
Sites, in units of the cell vectors:
Th 0.7500 0.8882 0.1293
Th 0.2500 0.1118 0.8707
Th 0.2500 0.7982 0.4738
Th 0.7500 0.2018 0.5262
Th 0.7500 0.4597 0.1752
Th 0.2500 0.5403 0.8248
Te 0.2500 0.1879 0.2441
Te 0.7500 0.8121 0.7559
H 0.2500 0.0654 0.5922
H 0.7500 0.9346 0.4078
Ir 0.2500 0.6760 0.1527
Ir 0.7500 0.3240 0.8473

=====

Compound: ThH6Ir
Source: the Alexandria database
Functional: PBE
Structure: optimized geometry

Raw total energy in eV per atom: -4.94
Mass density in g/cm³: 10.320
Space-group type: No. 166
DOS(E_F) in states/eV per cell: 1.47

Cell lengths 4.4900, 4.4900, 4.7377 Å; angles 61.72, 61.72, 60.00 degrees
Sites, in units of the cell vectors:
Th 0.5000 0.5000 0.5000
H 0.8929 0.8929 0.7688
H 0.4454 0.8929 0.7688
H 0.1071 0.5546 0.2312
H 0.5546 0.1071 0.2312
H 0.1071 0.1071 0.2312
H 0.8929 0.4454 0.7688
Ir 0.0000 0.0000 0.0000

=====

Compound: ThH3Ir
Source: the Alexandria database
Functional: PBE
Structure: optimized geometry

Raw total energy in eV per atom: -5.75
Mass density in g/cm³: 11.793
Space-group type: No. 62
DOS(E_F) in states/eV per cell: 0.47

Cell lengths 4.8623, 6.0618, 8.1653 Å; angles 90.00, 90.00, 90.00 degrees
Sites, in units of the cell vectors:
Th 0.7500 0.7559 0.5838
Th 0.2500 0.2441 0.4162
Th 0.7500 0.2559 0.9162
Th 0.2500 0.7441 0.0838
H 0.2500 0.8853 0.5403
H 0.7500 0.1147 0.4597
H 0.2500 0.3853 0.9597
H 0.7500 0.6147 0.0403
H 0.9660 0.9126 0.8596
H 0.4660 0.0874 0.1404
H 0.5340 0.4126 0.6404
H 0.0340 0.5874 0.3596
H 0.0340 0.0874 0.1404
H 0.5340 0.9126 0.8596
H 0.4660 0.5874 0.3596
H 0.9660 0.4126 0.6404
Ir 0.7500 0.5356 0.2389
Ir 0.2500 0.4644 0.7611
Ir 0.7500 0.0356 0.2611
Ir 0.2500 0.9644 0.7389

=====

Compound: ThH8Ir2
Source: the Alexandria database
Functional: PBE
Structure: optimized geometry

Raw total energy in eV per atom: -4.77
Mass density in g/cm³: 10.325
Space-group type: No. 139
DOS(E_F) in states/eV per cell: 3.03

Cell lengths 4.5592, 4.5592, 5.8087 Å; angles 113.11, 113.11, 90.00 degrees
Sites, in units of the cell vectors:
Th 0.5000 0.5000 0.0000
H 0.9358 0.9359 0.3165
H 0.0641 0.0642 0.6835
H 0.6194 0.6194 0.6835
H 0.6194 0.0641 0.6835
H 0.3806 0.3806 0.3165
H 0.3806 0.9358 0.3165
H 0.9359 0.3806 0.3165
H 0.0642 0.6194 0.6835
Ir 0.2500 0.7500 0.5000
Ir 0.7500 0.2500 0.5000

=====

Compound: Th12H5Ir3
Source: the Alexandria database
Functional: PBE
Structure: optimized geometry

Raw total energy in eV per atom: -6.93
Mass density in g/cm³: 12.022
Space-group type: No. 230
DOS(E_F) in states/eV per cell: 67.13

Cell lengths 13.4184, 13.4184, 13.4184 Å; angles 109.47, 109.47, 109.47 degrees
Sites, in units of the cell vectors:
H 0.1250 0.3750 0.2500
H 0.0000 0.5000 0.0000
H 0.0000 0.0000 0.0000
H 0.3750 0.2500 0.1250
H 0.5000 0.0000 0.5000
H 0.5000 0.5000 0.0000
H 0.1250 0.7500 0.3750
H 0.7500 0.1250 0.8750
H 0.7500 0.6250 0.3750
H 0.3750 0.1250 0.7500
H 0.6250 0.8750 0.2500
H 0.5000 0.5000 0.5000
H 0.5000 0.0000 0.0000
H 0.0000 0.0000 0.5000
H 0.2500 0.3750 0.6250
H 0.2500 0.8750 0.1250
H 0.0000 0.5000 0.5000
H 0.8750 0.2500 0.6250
H 0.6250 0.7500 0.8750
H 0.8750 0.6250 0.7500
Ir 0.7500 0.3750 0.1250
Ir 0.8750 0.7500 0.1250
Ir 0.3750 0.7500 0.6250
Ir 0.2500 0.1250 0.3750
Ir 0.8750 0.1250 0.2500
Ir 0.3750 0.6250 0.2500
Ir 0.6250 0.3750 0.7500
Ir 0.1250 0.8750 0.7500
Ir 0.7500 0.8750 0.6250
Ir 0.6250 0.2500 0.3750
Ir 0.1250 0.2500 0.8750
Ir 0.2500 0.6250 0.8750
Th 0.7155 0.1164 0.0276
Th 0.3122 0.5276 0.4112
Th 0.9724 0.3836 0.2845
Th 0.5276 0.2155 0.1164
Th 0.5990 0.7155 0.6878
Th 0.9724 0.5888 0.1878
Th 0.3122 0.7845 0.4010
Th 0.0888 0.9010 0.1164
Th 0.5888 0.9724 0.6878
Th 0.7155 0.5990 0.1878
Th 0.7845 0.4724 0.3836
Th 0.8122 0.9112 0.0276
Th 0.1164 0.7155 0.5276
Th 0.3836 0.4112 0.0990
Th 0.0990 0.9112 0.3836
Th 0.4010 0.1164 0.5888
Th 0.0990 0.1878 0.2155
Th 0.4724 0.6878 0.0888
Th 0.8122 0.9010 0.2845
Th 0.1164 0.4010 0.0888
Th 0.3836 0.9724 0.7845
Th 0.5888 0.6164 0.4010
Th 0.9112 0.8122 0.5276
Th 0.7845 0.3122 0.9010
Th 0.4112 0.3836 0.5990
Th 0.0888 0.1878 0.4724
Th 0.2155 0.6878 0.0990
Th 0.1878 0.0990 0.7155
Th 0.6164 0.0276 0.2155
Th 0.8836 0.5990 0.9112
Th 0.5276 0.3122 0.9112
Th 0.5990 0.8836 0.4112
Th 0.9010 0.8122 0.7845
Th 0.9010 0.0888 0.6164
Th 0.8836 0.2845 0.4724
Th 0.1878 0.0888 0.9724
Th 0.6164 0.5888 0.9010
Th 0.4112 0.0276 0.3122
Th 0.2845 0.4010 0.8122
Th 0.2155 0.5276 0.6164
Th 0.9112 0.0990 0.8836
Th 0.6878 0.2155 0.5990
Th 0.4724 0.7845 0.8836
Th 0.0276 0.4112 0.8122
Th 0.4010 0.2845 0.3122
Th 0.0276 0.6164 0.7155
Th 0.6878 0.4724 0.5888
Th 0.2845 0.8836 0.9724